[1]
4
Lattice="2.056 1.187 6.722 -2.056 1.187 6.722 0.000 -2.374 6.722" Properties=species:S:1:pos:R:3 comment="LiBr2Cl PBE optimized geometry" relative_energy_ev_per_fu=1.720 sg="R-3m (166)" pbc="T T T"
Li 0.000 0.000 0.000
Br 0.000 0.000 5.464
Br 0.000 0.000 14.701
Cl 0.000 0.000 10.083

---

[2]
4
Lattice="2.491 -8.221 0.000 2.491 8.221 0.000 -2.405 0.000 3.328" Properties=species:S:1:pos:R:3 comment="LiBr2Cl PBE optimized geometry" relative_energy_ev_per_fu=0.497 sg="C2/m (12)" pbc="T T T"
Li 0.000 0.000 0.000
Br 0.043 4.111 1.664
Br 0.043 -4.111 1.664
Cl 2.491 0.000 0.000

---

[3]
4
Lattice="-1.853 1.853 8.527 1.853 -1.853 8.527 1.853 1.853 -8.527" Properties=species:S:1:pos:R:3 comment="LiBrCl2 PBE optimized geometry" relative_energy_ev_per_fu=1.444 sg="I4/mmm (139)" pbc="T T T"
Li 0.000 0.000 0.000
Br 0.000 0.000 8.527
Cl 1.853 0.000 4.264
Cl 0.000 1.853 4.264

---

[4]
10
Lattice="6.134 -1.849 0.000 6.134 1.849 0.000 -4.459 0.000 7.898" Properties=species:S:1:pos:R:3 comment="Li5BrCl4 PBE optimized geometry" sg="C2/m (12)" pbc="T T T"
Li 0.000 0.000 0.000
Li -1.102 0.000 6.388
Li 2.139 0.000 4.802
Li 5.671 0.000 3.096
Li 8.912 0.000 1.510
Br -2.229 0.000 3.949
Cl 1.106 0.000 2.344
Cl 4.466 0.000 0.754
Cl 3.344 0.000 7.144
Cl 6.704 0.000 5.554

---

[5]
4
Lattice="3.792 -3.787 0.000 3.792 3.787 0.000 -3.346 0.000 3.913" Properties=species:S:1:pos:R:3 comment="LiBrCl2 PBE optimized geometry" relative_energy_ev_per_fu=0.834 sg="C2/m (12)" pbc="T T T"
Li 0.000 0.000 0.000
Br 3.792 0.000 0.000
Cl 1.896 1.893 0.000
Cl 1.896 -1.893 0.000

---

[6]
4
Lattice="3.291 0.000 0.000 0.000 3.291 0.000 0.000 0.000 9.412" Properties=species:S:1:pos:R:3 comment="LiBrCl2 PBE optimized geometry" relative_energy_ev_per_fu=1.628 sg="P4/mmm (123)" pbc="T T T"
Li 0.000 0.000 0.000
Br 0.000 0.000 4.706
Cl 1.645 1.645 1.302
Cl 1.645 1.645 8.109

---

Energy relative to the elements, uncorrected per entry: -137, -255, -202, -1684, -261, -185 kJ/mol of formula units
DFT total energy per entry: -2.131, -2.437, -2.344, -3.608, -2.497, -2.298 eV per atom